(1)
## SrGaAg4 (PBE)

Data for a relaxed SrGaAg4 crystal.

Magnetization   0.000 μB/f.u.
E   -2.8132 eV per atom
N(E_F)   1.216 states/eV/atom
Symmetry   F-43m, No. 216
Energy of formation   -0.13 eV/atom

Cell lengths 5.692, 5.692, 5.692 Å; angles 60.00, 60.00, 60.00 degrees
Sites, in units of the cell vectors:
Sr (0.000, 0.000, 0.000)
Ga (0.250, 0.250, 0.250)
Ag (0.625, 0.625, 0.126)
Ag (0.625, 0.126, 0.625)
Ag (0.625, 0.625, 0.625)
Ag (0.126, 0.625, 0.625)

---

(2)
## TaAl3V (PBE)

Data for a relaxed TaAl3V crystal.

Magnetization   0.000 μB/f.u.
E   -6.3885 eV per atom
N(E_F)   0.679 states/eV/atom
Symmetry   Pmmn, No. 59
Energy of formation   0.05 eV/atom

Cell lengths 4.060, 6.069, 6.644 Å; angles 90.00, 90.00, 90.00 degrees
Sites, in units of the cell vectors:
Ta (0.750, 0.250, 0.279)
Ta (0.250, 0.750, 0.721)
Al (0.750, 0.750, 0.048)
Al (0.250, 0.250, 0.952)
Al (0.750, 0.044, 0.735)
Al (0.750, 0.456, 0.735)
Al (0.250, 0.956, 0.265)
Al (0.250, 0.544, 0.265)
V (0.750, 0.750, 0.448)
V (0.250, 0.250, 0.552)

---

(3)
## LiPuGaSn (PBE)

Data for a relaxed LiPuGaSn crystal.

Magnetization   5.603 μB/f.u.
E   -6.1059 eV per atom
N(E_F)   2.576 states/eV/atom
Symmetry   F-43m, No. 216
Energy of formation   -0.29 eV/atom

Cell lengths 5.027, 5.027, 5.027 Å; angles 60.00, 60.00, 60.00 degrees
Last column: magnetic moment on the atom in μB.
Sites, in units of the cell vectors:
Li (0.500, 0.500, 0.500)  0.00
Sn (0.250, 0.250, 0.250)  -0.02
Ga (0.750, 0.750, 0.750)  0.06
Pu (0.000, 0.000, 0.000)  5.34

---

(4)
## Li3LaI6 (PBE)

Data for a relaxed Li3LaI6 crystal.

Magnetization   0.000 μB/f.u.
E   -3.3131 eV per atom
N(E_F)   0.000 states/eV/atom
Symmetry   P2_1/m, No. 11
Energy relative to the elements, uncorrected   -1316 meV per atom

Cell lengths 4.547, 17.085, 12.726 Å; angles 120.68, 90.00, 90.00 degrees
Sites, in units of the cell vectors:
Li (0.750, 0.681, 0.814)
Li (0.250, 0.319, 0.186)
Li (0.750, 0.571, 0.495)
Li (0.250, 0.429, 0.505)
Li (0.750, 0.170, 0.200)
Li (0.250, 0.830, 0.800)
La (0.750, 0.070, 0.729)
La (0.250, 0.930, 0.271)
I (0.750, 0.495, 0.647)
I (0.250, 0.505, 0.353)
I (0.750, 0.982, 0.124)
I (0.250, 0.018, 0.876)
I (0.750, 0.246, 0.048)
I (0.250, 0.754, 0.952)
I (0.750, 0.787, 0.238)
I (0.250, 0.213, 0.762)
I (0.750, 0.076, 0.463)
I (0.250, 0.924, 0.537)
I (0.750, 0.756, 0.659)
I (0.250, 0.244, 0.341)

---

(5)
## VRe2Pd (PBE)

Data for a relaxed VRe2Pd crystal.

Magnetization   1.395 μB/f.u.
E   -9.2042 eV per atom
N(E_F)   0.890 states/eV/atom
Symmetry   I-42d, No. 122
Energy of formation   0.60 eV/atom

Cell lengths 3.748, 3.748, 9.663 Å; angles 78.82, 78.82, 90.00 degrees
Last column: magnetic moment on the atom in μB.
Sites, in units of the cell vectors:
Re (0.587, 0.125, 0.250)  -0.03
Re (0.163, 0.625, 0.250)  -0.03
Re (0.375, 0.413, 0.750)  -0.03
Re (0.875, 0.837, 0.750)  -0.03
Pd (0.000, 0.000, 0.000)  0.01
Pd (0.750, 0.250, 0.500)  0.01
V (0.500, 0.500, 0.000)  1.30
V (0.250, 0.750, 0.500)  1.30

---

(6)
## Ba3NaTl3 (PBE)

Data for a relaxed Ba3NaTl3 crystal.

Magnetization   0.000 μB/f.u.
E   -2.3123 eV per atom
N(E_F)   0.874 states/eV/atom
Symmetry   C2/m, No. 12
Energy of formation   -0.29 eV/atom

Cell lengths 4.602, 7.628, 17.404 Å; angles 84.99, 82.40, 72.45 degrees
Sites, in units of the cell vectors:
Ba (0.514, 0.344, 0.629)
Ba (0.486, 0.656, 0.371)
Ba (0.266, 0.237, 0.230)
Ba (0.734, 0.763, 0.770)
Ba (0.391, 0.295, 0.923)
Ba (0.609, 0.705, 0.077)
Na (0.768, 0.048, 0.415)
Na (0.232, 0.952, 0.585)
Tl (0.885, 0.681, 0.548)
Tl (0.115, 0.319, 0.452)
Tl (0.104, 0.867, 0.926)
Tl (0.896, 0.133, 0.074)
Tl (0.964, 0.842, 0.230)
Tl (0.036, 0.158, 0.770)